Entry 1:
This record from Alexandria via LeMat-Bulk describes an optimized crystal structure of CaNdGaAu. The functional is PBE.

Cell lengths 7.365, 7.365, 7.365 Å; angles 90.00, 90.00, 90.00 degrees
Space group F-43m (No. 216)
Asymmetric unit:
Ca 0.000 0.000 0.000 [4 per cell]
Nd 0.000 0.000 0.500 [4 per cell]
Ga 0.250 0.250 0.250 [4 per cell]
Au 0.250 0.250 0.750 [4 per cell]

Summary:
* DOS(E_F): 0.72 states/eV/atom
* formation energy: -0.6470 eV per atom
* uncorrected energy: -62.65 eV for the cell shown


Entry 2:
This record from Alexandria via LeMat-Bulk describes an optimized crystal structure of CaNdGa2Au5. The functional is PBE.

Cell lengths 4.529, 4.529, 9.068 Å; angles 90.00, 90.00, 90.00 degrees
Space group P4/mmm (No. 123)
Asymmetric unit:
Ca 0.000 0.000 0.000 [1 per cell]
Nd 0.000 0.000 0.500 [1 per cell]
Ga 0.500 0.500 0.364 [2 per cell]
Au 0.000 0.500 0.227 [4 per cell]
Au 0.500 0.500 0.000 [1 per cell]

Summary:
* DOS(E_F): 0.40 states/eV/atom
* formation energy: -0.5708 eV per atom
* uncorrected energy: -34.35 eV for the cell shown


Entry 3:
This record from Alexandria via LeMat-Bulk describes an optimized crystal structure of Ca2Ga4NiAu3. The functional is PBE.

Cell lengths 4.181, 4.181, 11.392 Å; angles 90.00, 90.00, 90.00 degrees
Space group P-4m2 (No. 115)
Asymmetric unit:
Ca 0.000 0.500 0.241 [2 per cell]
Ga 0.000 0.000 0.500 [1 per cell]
Ga 0.000 0.500 0.874 [2 per cell]
Ga 0.500 0.500 0.500 [1 per cell]
Ni 0.500 0.500 0.000 [1 per cell]
Au 0.000 0.000 0.000 [1 per cell]
Au 0.000 0.500 0.649 [2 per cell]

Summary:
* DOS(E_F): 0.41 states/eV/atom
* formation energy: -0.5235 eV per atom
* uncorrected energy: -36.96 eV for the cell shown


Entry 4:
This record from Alexandria via LeMat-Bulk describes an optimized crystal structure of Ca2GaNiAu6. The functional is PBE.

Cell lengths 5.495, 5.923, 7.397 Å; angles 75.63, 68.32, 74.11 degrees
Space group P-1 (No. 2)
Asymmetric unit:
Ca 0.095 0.295 0.312 [2 per cell]
Ga 0.000 0.000 0.000 [1 per cell]
Ni 0.500 0.500 0.500 [1 per cell]
Au 0.264 0.776 0.247 [2 per cell]
Au 0.324 0.117 0.659 [2 per cell]
Au 0.329 0.614 0.868 [2 per cell]

Summary:
* DOS(E_F): 0.39 states/eV/atom
* formation energy: -0.3855 eV per atom
* uncorrected energy: -36.33 eV for the cell shown


Entry 5:
This record from Alexandria via LeMat-Bulk describes an optimized crystal structure of Ca2GaAuO5. The functional is PBE.

Cell lengths 3.226, 12.860, 11.216 Å; angles 90.00, 90.00, 90.00 degrees
Space group Cmc2_1 (No. 36)
Asymmetric unit:
Ca 0.000 0.074 0.000 [4 per cell]
Ca 0.000 0.152 0.635 [4 per cell]
Ga 0.000 0.232 0.383 [4 per cell]
Au 0.000 0.459 0.786 [4 per cell]
O 0.000 0.089 0.427 [4 per cell]
O 0.000 0.249 0.003 [4 per cell]
O 0.000 0.301 0.763 [4 per cell]
O 0.000 0.382 0.333 [4 per cell]
O 0.000 0.488 0.113 [4 per cell]

Summary:
* formation energy without anion corrections: -1.72 eV per atom
* DOS(E_F): 0.01 states/eV/atom
* uncorrected energy: -202.29 eV for the cell shown


Entry 6:
This record from Alexandria via LeMat-Bulk describes an optimized crystal structure of CaPaGaAu. The functional is PBE.

Cell lengths 7.239, 7.239, 7.239 Å; angles 90.00, 90.00, 90.00 degrees
Space group F-43m (No. 216)
Asymmetric unit:
Ca 0.000 0.000 0.000 [4 per cell]
Pa 0.000 0.000 0.500 [4 per cell]
Ga 0.250 0.250 0.750 [4 per cell]
Au 0.250 0.250 0.250 [4 per cell]

Summary:
* DOS(E_F): 1.52 states/eV/atom
* formation energy: -0.2924 eV per atom
* uncorrected energy: -75.89 eV for the cell shown